[1]
The following is a PBE calculation of a relaxed RbLaTm crystal, from the Open Quantum Materials Database.

Cell lengths 6.045, 6.045, 6.045 Å; angles 60.00, 60.00, 60.00 degrees
Fractional positions:
Rb (0.000, 0.000, 0.000)
La (0.500, 0.500, 0.500)
Tm (0.750, 0.750, 0.750)

Properties
For the theoretical density, the calculation gives 4.18 Mg/m³. The distance to the lowest polymorph of the same formula is 0 meV/atom. Its space group is F-43m, No. 216. The calculation puts the spin magnetization at 1.728 μB per formula unit.

[2]
The following is a PBE calculation of a relaxed RbLaW crystal, from the Open Quantum Materials Database.

Cell lengths 5.310, 5.310, 5.310 Å; angles 60.00, 60.00, 60.00 degrees
Fractional positions:
Rb (0.000, 0.000, 0.000)
La (0.500, 0.500, 0.500)
W (0.750, 0.750, 0.750)

Properties
For the theoretical density, the calculation gives 6.40 Mg/m³. The distance to the lowest polymorph of the same formula is 0 meV/atom. Its space group is F-43m, No. 216. The calculation puts the spin magnetization at 2.270 μB per formula unit.

[3]
The following is a PBE calculation of a relaxed RbLaZn crystal, from the Open Quantum Materials Database.

Cell lengths 5.353, 5.353, 5.353 Å; angles 60.00, 60.00, 60.00 degrees
Fractional positions:
Rb (0.000, 0.000, 0.000)
La (0.250, 0.250, 0.250)
Zn (0.500, 0.500, 0.500)

Properties
For the theoretical density, the calculation gives 4.44 Mg/m³. Its space group is F-43m, No. 216. The calculation puts the total DFT energy (no corrections) at -5.0 eV for the cell shown. The calculation puts the spin magnetization at 0.033 μB per formula unit.

[4]
The following is a PBE calculation of a relaxed LaRe3 crystal, from the Open Quantum Materials Database.

Cell lengths 4.415, 4.415, 9.152 Å; angles 90.00, 90.00, 119.85 degrees
Fractional positions:
La (0.166, 0.834, 0.750)
La (0.834, 0.166, 0.250)
Re (0.167, 0.833, 0.037)
Re (0.167, 0.833, 0.463)
Re (0.500, 0.500, 0.250)
Re (0.500, 0.500, 0.750)
Re (0.833, 0.167, 0.537)
Re (0.833, 0.167, 0.963)

Properties
The calculation puts the formation enthalpy at 0 K at 1.69 eV per atom. For the theoretical density, the calculation gives 14.97 Mg/m³. Its space group is Cmcm, No. 63. The calculation puts the spin magnetization at 0.318 μB per formula unit.

[5]
The following is a PBE calculation of a relaxed LaReSi2 crystal, from the Open Quantum Materials Database.

Cell lengths 3.930, 3.930, 5.261 Å; angles 90.00, 90.00, 90.00 degrees
Fractional positions:
La (0.000, 0.000, 0.000)
Re (0.500, 0.500, 0.500)
Si (0.000, 0.000, 0.500)
Si (0.500, 0.500, 0.000)

Properties
For the theoretical density, the calculation gives 7.79 Mg/m³. Its space group is P4/mmm, No. 123. The calculation puts the total DFT energy (no corrections) at -26.4 eV for the cell shown. The calculation puts the spin magnetization at 1.150 μB per formula unit.

[6]
The following is a PBE calculation of a relaxed LaReSn crystal, from the Open Quantum Materials Database.

Cell lengths 4.779, 4.779, 4.779 Å; angles 60.00, 60.00, 60.00 degrees
Fractional positions:
La (0.000, 0.000, 0.000)
Re (0.250, 0.250, 0.250)
Sn (0.500, 0.500, 0.500)

Properties
For the theoretical density, the calculation gives 9.55 Mg/m³. Its space group is F-43m, No. 216. The calculation puts the total DFT energy (no corrections) at -20.5 eV for the cell shown. The calculation puts the spin magnetization at 0.009 μB per formula unit.

[7]
The following is a PBE calculation of a relaxed LaTb4Re2 crystal, from the Open Quantum Materials Database.

Cell lengths 6.193, 6.193, 6.193 Å; angles 103.18, 103.18, 122.95 degrees
Fractional positions:
La (0.000, 0.000, 0.000)
Tb (0.294, 0.294, 0.588)
Tb (0.294, 0.706, 0.000)
Tb (0.706, 0.294, 0.000)
Tb (0.706, 0.706, 0.412)
Re (0.250, 0.750, 0.500)
Re (0.750, 0.250, 0.500)

Properties
The calculation puts the formation enthalpy at 0 K at 0.44 eV per atom. For the theoretical density, the calculation gives 10.88 Mg/m³. Its space group is I4/mmm, No. 139. The calculation puts the spin magnetization at 0.367 μB per formula unit.

[8]
The following is a PBE calculation of a relaxed LaThRe crystal, from the Open Quantum Materials Database.

Cell lengths 4.906, 4.906, 4.906 Å; angles 60.00, 60.00, 60.00 degrees
Fractional positions:
La (0.000, 0.000, 0.000)
Th (0.250, 0.250, 0.250)
Re (0.500, 0.500, 0.500)

Properties
The calculation puts the formation enthalpy at 0 K at 0.94 eV per atom. For the theoretical density, the calculation gives 11.08 Mg/m³. Its space group is F-43m, No. 216. The calculation puts the spin magnetization at 0.002 μB per formula unit.